Computed, not measured: an optimized crystal structure of CrIrF3 at the PBE with a Hubbard U level of DFT.

The space group is Pm-3m (No. 221) and the conventional cell measures 4.0089, 4.0089 and 4.0089 Å, with angles of 90.00, 90.00 and 90.00 degrees. The asymmetric unit holds Cr at (0.0000, 0.0000, 0.0000), Ir at (0.5000, 0.5000, 0.5000) and F at (0.0000, 0.0000, 0.5000).

For the total energy, the calculation gives -4.40 eV per atom. The crystal system is cubic.